(1)
# SmSnPb, optimized geometry, DFT GGA-PBE
data_SmSnPb
_symmetry_space_group_name_H-M 'C m c m'
_symmetry_Int_Tables_number 63
_symmetry_space_group_name_Hall '-C 2c 2'
_cell_length_a 4.6259
_cell_length_b 16.7206
_cell_length_c 4.4455
_cell_angle_alpha 90.00
_cell_angle_beta 90.00
_cell_angle_gamma 90.00
loop_
_atom_site_label
_atom_site_type_symbol
_atom_site_fract_x
_atom_site_fract_y
_atom_site_fract_z
Sm1 Sm 0.0000 0.0948 0.2500
Sn1 Sn 0.0000 0.4374 0.2500
Pb1 Pb 0.0000 0.2531 0.7500
# - Distance to the lowest polymorph of the same formula: 0 meV per atom

***

(2)
# Pa2CoSi4Pt3, optimized geometry, DFT GGA-PBE
data_Pa2CoSi4Pt3
_symmetry_space_group_name_H-M 'P -4 m 2'
_symmetry_Int_Tables_number 115
_symmetry_space_group_name_Hall 'P -4 -2'
_cell_length_a 4.1643
_cell_length_b 4.1643
_cell_length_c 9.7469
_cell_angle_alpha 90.00
_cell_angle_beta 90.00
_cell_angle_gamma 90.00
loop_
_atom_site_label
_atom_site_type_symbol
_atom_site_fract_x
_atom_site_fract_y
_atom_site_fract_z
Pa1 Pa 0.0000 0.5000 0.2430
Co1 Co 0.5000 0.5000 0.0000
Si1 Si 0.0000 0.0000 0.5000
Si2 Si 0.0000 0.5000 0.8717
Si3 Si 0.5000 0.5000 0.5000
Pt1 Pt 0.0000 0.0000 0.0000
Pt2 Pt 0.0000 0.5000 0.6258
# - Formation energy from raw total energies: -912.7 meV/atom

***

(3)
# LuHfInHg, optimized geometry, DFT GGA-PBE
data_LuHfInHg
_symmetry_space_group_name_H-M 'F -4 3 m'
_symmetry_Int_Tables_number 216
_symmetry_space_group_name_Hall 'F -4 2 3'
_cell_length_a 7.1576
_cell_length_b 7.1576
_cell_length_c 7.1576
_cell_angle_alpha 90.00
_cell_angle_beta 90.00
_cell_angle_gamma 90.00
loop_
_atom_site_label
_atom_site_type_symbol
_atom_site_fract_x
_atom_site_fract_y
_atom_site_fract_z
Lu1 Lu 0.0000 0.0000 0.0000
Hf1 Hf 0.0000 0.0000 0.5000
In1 In 0.2500 0.2500 0.2500
Hg1 Hg 0.2500 0.2500 0.7500
# - DFT total energy: -4.541 eV per atom

***

(4)
# TcIrRh2, optimized geometry, DFT GGA-PBE
data_TcIrRh2
_symmetry_space_group_name_H-M 'F -4 3 m'
_symmetry_Int_Tables_number 216
_symmetry_space_group_name_Hall 'F -4 2 3'
_cell_length_a 6.1760
_cell_length_b 6.1760
_cell_length_c 6.1760
_cell_angle_alpha 90.00
_cell_angle_beta 90.00
_cell_angle_gamma 90.00
loop_
_atom_site_label
_atom_site_type_symbol
_atom_site_fract_x
_atom_site_fract_y
_atom_site_fract_z
Tc1 Tc 0.0000 0.0000 0.0000
Ir1 Ir 0.2500 0.2500 0.7500
Rh1 Rh 0.0000 0.0000 0.5000
Rh2 Rh 0.2500 0.2500 0.2500
# - Distance to the lowest polymorph of the same formula: 433 meV per atom

***

(5)
# LiSn2Pt, optimized geometry, DFT GGA-PBE
data_LiSn2Pt
_symmetry_space_group_name_H-M 'C m c m'
_symmetry_Int_Tables_number 63
_symmetry_space_group_name_Hall '-C 2c 2'
_cell_length_a 4.2522
_cell_length_b 10.2994
_cell_length_c 7.7848
_cell_angle_alpha 90.00
_cell_angle_beta 90.00
_cell_angle_gamma 90.00
loop_
_atom_site_label
_atom_site_type_symbol
_atom_site_fract_x
_atom_site_fract_y
_atom_site_fract_z
Li1 Li 0.0000 0.0722 0.2500
Sn1 Sn 0.0000 0.3608 0.0436
Pt1 Pt 0.0000 0.2089 0.7500
# - DFT total energy: -4.498 eV per atom

***

(6)
# SrAg2Bi, optimized geometry, DFT GGA-PBE
data_SrAg2Bi
_symmetry_space_group_name_H-M 'I -4 2 d'
_symmetry_Int_Tables_number 122
_symmetry_space_group_name_Hall 'I -4 2bw'
_cell_length_a 5.0243
_cell_length_b 5.0243
_cell_length_c 20.4660
_cell_angle_alpha 90.00
_cell_angle_beta 90.00
_cell_angle_gamma 90.00
loop_
_atom_site_label
_atom_site_type_symbol
_atom_site_fract_x
_atom_site_fract_y
_atom_site_fract_z
Sr1 Sr 0.0000 0.0000 0.0000
Ag1 Ag 0.1197 0.2500 0.6250
Bi1 Bi 0.0000 0.0000 0.5000
# - DFT total energy: -2.961 eV per atom

***

(7)
# FeTcPd2, optimized geometry, DFT GGA-PBE
data_FeTcPd2
_symmetry_space_group_name_H-M 'F m -3 m'
_symmetry_Int_Tables_number 225
_symmetry_space_group_name_Hall '-F 4 2 3'
_cell_length_a 6.1011
_cell_length_b 6.1011
_cell_length_c 6.1011
_cell_angle_alpha 90.00
_cell_angle_beta 90.00
_cell_angle_gamma 90.00
loop_
_atom_site_label
_atom_site_type_symbol
_atom_site_fract_x
_atom_site_fract_y
_atom_site_fract_z
Fe1 Fe 0.0000 0.0000 0.0000
Tc1 Tc 0.0000 0.0000 0.5000
Pd1 Pd 0.2500 0.2500 0.2500
# - Distance to the lowest polymorph of the same formula: 235 meV per atom

***

(8)
# LiAc2Au6, optimized geometry, DFT GGA-PBE
data_LiAc2Au6
_symmetry_space_group_name_H-M 'P -3 m 1'
_symmetry_Int_Tables_number 164
_symmetry_space_group_name_Hall '-P 3 2"'
_cell_length_a 6.5282
_cell_length_b 6.5282
_cell_length_c 5.6523
_cell_angle_alpha 90.00
_cell_angle_beta 90.00
_cell_angle_gamma 120.00
loop_
_atom_site_label
_atom_site_type_symbol
_atom_site_fract_x
_atom_site_fract_y
_atom_site_fract_z
Li1 Li 0.0000 0.0000 0.0000
Ac1 Ac 0.3333 0.6667 0.8127
Au1 Au 0.1750 0.3499 0.3040
# - DFT total energy: -3.959 eV per atom

***

(9)
# Al8Cr5, optimized geometry, DFT GGA-PBE
data_Al8Cr5
_symmetry_space_group_name_H-M 'R 3 m'
_symmetry_Int_Tables_number 160
_symmetry_space_group_name_Hall 'R 3 -2"'
_cell_length_a 12.7036
_cell_length_b 12.7036
_cell_length_c 7.9093
_cell_angle_alpha 90.00
_cell_angle_beta 90.00
_cell_angle_gamma 120.00
loop_
_atom_site_label
_atom_site_type_symbol
_atom_site_fract_x
_atom_site_fract_y
_atom_site_fract_z
Al1 Al 0.0000 0.0000 0.0000
Al2 Al 0.0473 0.3372 0.3610
Al3 Al 0.0750 0.1500 0.2718
Al4 Al 0.0929 0.5464 0.5971
Al5 Al 0.2152 0.4305 0.7406
Cr1 Cr 0.0000 0.0000 0.5201
Cr2 Cr 0.1092 0.5546 0.2541
Cr3 Cr 0.1454 0.0727 0.7591
Cr4 Cr 0.2214 0.4427 0.1116
# - DFT total energy: -6.066 eV per atom

***

(10)
# NdPuGaRh, optimized geometry, DFT GGA-PBE
data_NdPuGaRh
_symmetry_space_group_name_H-M 'F -4 3 m'
_symmetry_Int_Tables_number 216
_symmetry_space_group_name_Hall 'F -4 2 3'
_cell_length_a 7.1365
_cell_length_b 7.1365
_cell_length_c 7.1365
_cell_angle_alpha 90.00
_cell_angle_beta 90.00
_cell_angle_gamma 90.00
loop_
_atom_site_label
_atom_site_type_symbol
_atom_site_fract_x
_atom_site_fract_y
_atom_site_fract_z
Nd1 Nd 0.0000 0.0000 0.0000
Pu1 Pu 0.0000 0.0000 0.5000
Ga1 Ga 0.2500 0.2500 0.7500
Rh1 Rh 0.2500 0.2500 0.2500
# - DFT total energy: -7.748 eV per atom

***

(11)
# TlTePt2S, optimized geometry, DFT GGA-PBE
data_TlTePt2S
_symmetry_space_group_name_H-M 'P 4/m m m'
_symmetry_Int_Tables_number 123
_symmetry_space_group_name_Hall '-P 4 2'
_cell_length_a 5.1631
_cell_length_b 5.1631
_cell_length_c 4.8878
_cell_angle_alpha 90.00
_cell_angle_beta 90.00
_cell_angle_gamma 90.00
loop_
_atom_site_label
_atom_site_type_symbol
_atom_site_fract_x
_atom_site_fract_y
_atom_site_fract_z
Tl1 Tl 0.0000 0.0000 0.0000
Te1 Te 0.5000 0.5000 0.5000
Pt1 Pt 0.0000 0.5000 0.0000
S1 S 0.0000 0.0000 0.5000
# - Formation energy from raw total energies: 1179.0 meV/atom

***

(12)
# Ho14PuSc, optimized geometry, DFT GGA-PBE
data_Ho14PuSc
_symmetry_space_group_name_H-M 'A m m 2'
_symmetry_Int_Tables_number 38
_symmetry_space_group_name_Hall 'A 2 -2'
_cell_length_a 11.1202
_cell_length_b 7.1364
_cell_length_c 12.3536
_cell_angle_alpha 90.00
_cell_angle_beta 90.00
_cell_angle_gamma 90.00
loop_
_atom_site_label
_atom_site_type_symbol
_atom_site_fract_x
_atom_site_fract_y
_atom_site_fract_z
Ho1 Ho 0.0000 0.0000 0.0001
Ho2 Ho 0.0000 0.0000 0.5000
Ho3 Ho 0.0000 0.2494 0.2498
Ho4 Ho 0.2509 0.0000 0.8347
Ho5 Ho 0.2516 0.0000 0.3342
Ho6 Ho 0.2552 0.2490 0.0819
Ho7 Ho 0.5000 0.2477 0.7511
Pu1 Pu 0.5000 0.0000 0.9989
Sc1 Sc 0.5000 0.0000 0.5005
# - DFT total energy: -5.270 eV per atom